Record 1
Y2MgTl | PBE-GGA | relaxed

Structure (POSCAR):
```
Y2MgTl
1.0
5.015 0.000 0.000
-2.508 4.344 0.000
0.000 0.000 17.942
Y Mg Tl
6 3 3
Cartesian
0.000 0.000 0.000
0.000 0.000 3.669
0.000 2.896 11.961
0.000 2.896 15.630
2.508 1.448 5.981
2.508 1.448 9.649
0.000 0.000 7.592
0.000 2.896 1.611
2.508 1.448 13.573
0.000 0.000 10.867
0.000 2.896 4.887
2.508 1.448 16.848
```


Record 2
Y2MgTl9 | PBE-GGA | relaxed

Structure (POSCAR):
```
Y2MgTl9
1.0
4.778 0.000 0.000
0.000 4.778 0.000
0.000 0.000 14.358
Y Mg Tl
2 1 9
Cartesian
0.000 0.000 2.319
0.000 0.000 12.039
0.000 0.000 7.179
0.000 2.389 0.000
0.000 2.389 4.826
0.000 2.389 9.532
2.389 0.000 0.000
2.389 0.000 4.826
2.389 0.000 9.532
2.389 2.389 2.418
2.389 2.389 7.179
2.389 2.389 11.940
```


Record 3
Y5MgTl4 | PBE-GGA | relaxed

Structure (POSCAR):
```
Y5MgTl4
1.0
3.801 0.000 0.000
0.000 3.801 0.000
0.000 0.000 18.905
Y Mg Tl
5 1 4
Cartesian
0.000 0.000 0.000
0.000 0.000 3.809
0.000 0.000 7.615
0.000 0.000 11.290
0.000 0.000 15.096
1.900 1.900 9.452
1.900 1.900 1.905
1.900 1.900 5.771
1.900 1.900 13.134
1.900 1.900 17.000
```


Record 4
Y2MgTl2 | PBE-GGA | relaxed

## Properties
The calculation puts the distance to the lowest polymorph of the same formula at 447 meV/atom.

Structure (POSCAR):
```
Y2MgTl2
1.0
4.342 0.000 0.000
0.000 4.342 0.000
0.000 0.000 16.397
Y Mg Tl
4 2 4
Cartesian
0.000 0.000 1.675
0.000 0.000 14.723
2.171 2.171 6.524
2.171 2.171 9.873
0.000 0.000 8.199
2.171 2.171 0.000
0.000 2.171 4.099
0.000 2.171 12.298
2.171 0.000 4.099
2.171 0.000 12.298
```


no.,uncorrected energy (eV per atom),density of states at the Fermi level (states/eV/atom)
1,-4.14,0.95
2,-3.12,0.50
3,-4.67,0.87
4,-3.73,1.09